(1)
Computed, not measured: NaLuO3 after structural relaxation at the PBE level of DFT.

The structure belongs to space group R-3c (No. 167, hexagonal axes); the cell edges are 5.8629, 5.8629 and 13.9900 Å and the angles 90.00°, 90.00° and 120.00°. The distinct sites, in fractional coordinates, are Na at (0.0000, 0.0000, 0.2500), Lu at (0.0000, 0.0000, 0.0000) and O at (0.0000, 0.3903, 0.2500).

Its calculated total energy is -6.0203 eV per atom.


(2)
Computed, not measured: NaLuO3 after structural relaxation at the PBE level of DFT.

The structure belongs to space group R-3 (No. 148, hexagonal axes); the cell edges are 5.7905, 5.7905 and 14.7320 Å and the angles 90.00°, 90.00° and 120.00°. The distinct sites, in fractional coordinates, are Na at (0.0000, 0.0000, 0.1365), Lu at (0.0000, 0.0000, 0.3526) and O at (0.0186, 0.7207, 0.2574).

Its calculated total energy is -5.9915 eV per atom.


(3)
Computed, not measured: NaLuO3 after structural relaxation at the PBE level of DFT.

The structure belongs to space group P4mm (No. 99); the cell edges are 4.211, 4.211 and 4.355 Å and the angles 90.00°, 90.00° and 90.00°. The distinct sites, in fractional coordinates, are Na at (0.000, 0.000, 0.000), Lu at (0.500, 0.500, 0.622), O at (0.000, 0.500, 0.694) and O at (0.500, 0.500, 0.124).

Its calculated total energy is -5.9997 eV per atom.


(4)
Computed, not measured: NaLuO3 after structural relaxation at the PBE level of DFT.

The structure belongs to space group Pnma (No. 62); the cell edges are 5.971, 7.675 and 5.858 Å and the angles 90.00°, 90.00° and 90.00°. The distinct sites, in fractional coordinates, are Na at (0.047, 0.250, 0.014), Lu at (0.000, 0.000, 0.500), O at (0.076, 0.750, 0.352) and O at (0.218, 0.581, 0.786).

Its calculated total energy is -6.0130 eV per atom.


(5)
Computed, not measured: NaLuP2O7 after structural relaxation at the PBE level of DFT.

The structure belongs to space group P2_1/c (No. 14); the cell edges are 8.881, 5.310 and 13.704 Å and the angles 90.00°, 115.80° and 90.00°. The distinct sites, in fractional coordinates, are Na at (0.054, 0.228, 0.192), Lu at (0.243, 0.239, 0.973), P at (0.189, 0.720, 0.117), P at (0.321, 0.750, 0.346), O at (0.030, 0.703, 0.627), O at (0.190, 0.063, 0.596), O at (0.210, 0.534, 0.852), O at (0.224, 0.623, 0.537), O at (0.233, 0.003, 0.838), O at (0.341, 0.718, 0.735) and O at (0.496, 0.737, 0.936).

Its calculated total energy is -7.3470 eV per atom.


(6)
Computed, not measured: NaLuPt6O8 after structural relaxation at the PBE level of DFT.

The structure belongs to space group Pm-3 (No. 200); the cell edges are 5.803, 5.803 and 5.803 Å and the angles 90.00°, 90.00° and 90.00°. The distinct sites, in fractional coordinates, are Na at (0.000, 0.000, 0.000), Lu at (0.500, 0.500, 0.500), Pt at (0.000, 0.500, 0.250) and O at (0.264, 0.264, 0.264).

Its calculated total energy is -6.0883 eV per atom.


(7)
Computed, not measured: NaLuSO after structural relaxation at the PBE level of DFT.

The structure belongs to space group Pca2_1 (No. 29); the cell edges are 7.046, 8.694 and 5.352 Å and the angles 90.00°, 90.00° and 90.00°. The distinct sites, in fractional coordinates, are Na at (0.120, 0.075, 0.000), Lu at (0.046, 0.662, 0.057), S at (0.077, 0.634, 0.559) and O at (0.067, 0.134, 0.574).

Its calculated total energy is -5.8088 eV per atom. As for the polymorph energy (0 for the lowest one): 281.5 meV/atom.


(8)
Computed, not measured: NaLuSO after structural relaxation at the PBE level of DFT.

The structure belongs to space group P2_1/c (No. 14); the cell edges are 6.763, 7.073 and 6.120 Å and the angles 90.00°, 104.29° and 90.00°. The distinct sites, in fractional coordinates, are Na at (0.088, 0.242, 0.005), Lu at (0.462, 0.625, 0.266), S at (0.222, 0.586, 0.835) and O at (0.384, 0.152, 0.879).

Its calculated total energy is -6.0904 eV per atom. As for the polymorph energy (0 for the lowest one): 0.0 meV/atom.